No. 1
Pm3ErTl3 PBE optimized geometry; ΔH_f (0 K) = -0.195 eV/atom; D(E_F) = 11.4 states/eV per cell; ΔE to the lowest computed polymorph = 0.51 eV/f.u.
1.0
9.5699 0.0000 0.0000
-4.7850 8.2878 0.0000
0.0000 0.0000 5.3218
Pm Er Tl
6 2 6
direct
0.0032 0.2404 0.2500
0.2372 0.9968 0.2500
0.2404 0.2372 0.7500
0.7596 0.7628 0.2500
0.7628 0.0032 0.7500
0.9968 0.7596 0.7500
0.3333 0.6667 0.2500
0.6667 0.3333 0.7500
0.0728 0.4533 0.7500
0.3805 0.9272 0.7500
0.4533 0.3805 0.2500
0.5467 0.6195 0.7500
0.6195 0.0728 0.2500
0.9272 0.5467 0.2500

***

No. 2
K2HgIrO6 PBE optimized geometry; raw formation energy = -737 meV per atom; D(E_F) = 6.3 states/eV per cell
1.0
3.0138 1.7400 4.7782
-3.0138 1.7400 4.7782
0.0000 -3.4800 4.7782
K Hg Ir O
2 1 1 6
direct
0.2494 0.2494 0.2494
0.7506 0.7506 0.7506
0.5000 0.5000 0.5000
0.0000 0.0000 0.0000
0.1658 0.7861 0.2772
0.2139 0.7228 0.8342
0.2772 0.1658 0.7861
0.7228 0.8342 0.2139
0.7861 0.2772 0.1658
0.8342 0.2139 0.7228

***

No. 3
AlHgPt2 PBE optimized geometry; ΔH_f (0 K) = -0.356 eV/atom; D(E_F) = 1.3 states/eV per cell; ΔE to the lowest computed polymorph = 0.94 eV/f.u.
1.0
2.9244 0.0000 0.0000
0.0000 4.5812 0.0000
0.0000 0.0000 5.0164
Al Hg Pt
1 1 2
direct
0.0000 0.0000 0.0000
0.0000 0.5000 0.5786
0.5000 0.0000 0.4361
0.5000 0.5000 0.0651